Below is a relaxed structure of Cr2NiIr2, with properties calculated at the GGA-PBE level.

Cell lengths 4.475, 4.475, 5.846 Å; angles 129.16, 129.16, 49.16 degrees
Fractional positions:
Cr1 0.088 0.088 0.384
Cr2 0.912 0.912 0.616
Ni1 0.500 0.500 0.000
Ir1 0.295 0.295 0.209
Ir2 0.705 0.705 0.791

The value obtained for the volume is 64 Å³/f.u. Its symmetry is C2/m (12). The value obtained for the formation energy is -0.127 eV/atom. The total magnetic moment comes out at 0.000 μB/cell. The electronic total energy is -43.384 eV/f.u. The density of states at the Fermi level is 4.9 states/eV/cell.



Below is a relaxed structure of CrNi2Ir4, with properties calculated at the GGA-PBE level.

Cell lengths 13.235, 13.235, 2.679 Å; angles 90.00, 90.00, 168.35 degrees
Fractional positions:
Cr1 0.000 0.000 0.000
Ni1 0.289 0.711 0.500
Ni2 0.711 0.289 0.500
Ir1 0.145 0.855 0.000
Ir2 0.431 0.569 0.500
Ir3 0.569 0.431 0.500
Ir4 0.855 0.145 0.000

The value obtained for the volume is 95 Å³/f.u. Its symmetry is Cmmm (65). The value obtained for the formation energy is 0.052 eV/atom. The total magnetic moment comes out at 1.557 μB/cell. The electronic total energy is -56.267 eV/f.u. The density of states at the Fermi level is 11.3 states/eV/cell.



Below is a relaxed structure of Cr2Ni5Ir, with properties calculated at the GGA-PBE level.

Cell lengths 5.117, 10.222, 3.578 Å; angles 90.00, 90.00, 90.00 degrees
Fractional positions:
Cr1 0.250 0.126 0.000
Cr2 0.250 0.626 0.000
Cr3 0.750 0.374 0.000
Cr4 0.750 0.874 0.000
Ni1 0.000 0.000 0.500
Ni2 0.004 0.249 0.500
Ni3 0.243 0.871 0.000
Ni4 0.257 0.371 0.000
Ni5 0.496 0.749 0.500
Ni6 0.500 0.500 0.500
Ni7 0.504 0.251 0.500
Ni8 0.743 0.629 0.000
Ni9 0.757 0.129 0.000
Ni10 0.996 0.751 0.500
Ir1 0.000 0.500 0.500
Ir2 0.500 0.000 0.500

The value obtained for the volume is 94 Å³/f.u. Its symmetry is Pbam (55). The value obtained for the formation energy is -0.053 eV/atom. The total magnetic moment comes out at 7.160 μB/cell. The electronic total energy is -57.435 eV/f.u. The density of states at the Fermi level is 19.8 states/eV/cell.



Below is a relaxed structure of Cr2Ni5Ir2, with properties calculated at the GGA-PBE level.

Cell lengths 4.441, 4.451, 5.702 Å; angles 82.43, 74.99, 81.01 degrees
Fractional positions:
Cr1 0.054 0.113 0.271
Cr2 0.946 0.887 0.729
Ni1 0.278 0.564 0.391
Ni2 0.399 0.778 0.939
Ni3 0.500 0.000 0.500
Ni4 0.601 0.222 0.061
Ni5 0.722 0.436 0.609
Ir1 0.162 0.322 0.829
Ir2 0.838 0.678 0.171

The value obtained for the volume is 107 Å³/f.u. Its symmetry is P-1 (2). The value obtained for the formation energy is -0.044 eV/atom. The total magnetic moment comes out at 0.000 μB/cell. The electronic total energy is -66.270 eV/f.u. The density of states at the Fermi level is 11.4 states/eV/cell.



Below is a relaxed structure of Cr5NiIr6, with properties calculated at the GGA-PBE level.

Cell lengths 7.062, 7.062, 7.062 Å; angles 148.68, 117.83, 71.27 degrees
Fractional positions:
Cr1 0.000 0.000 0.000
Cr2 0.161 0.661 0.500
Cr3 0.331 0.331 0.000
Cr4 0.669 0.669 0.000
Cr5 0.839 0.339 0.500
Ni1 0.500 0.000 0.500
Ir1 0.083 0.833 0.250
Ir2 0.252 0.500 0.752
Ir3 0.417 0.167 0.250
Ir4 0.583 0.833 0.750
Ir5 0.748 0.500 0.248
Ir6 0.917 0.167 0.750

The value obtained for the volume is 160 Å³/f.u. Its symmetry is Immm (71). The value obtained for the formation energy is -0.169 eV/atom. The total magnetic moment comes out at 3.773 μB/cell. The electronic total energy is -109.098 eV/f.u. The density of states at the Fermi level is 11.5 states/eV/cell.



Below is a relaxed structure of Cr4NiIr7, with properties calculated at the GGA-PBE level.

Cell lengths 4.841, 4.950, 7.156 Å; angles 89.27, 76.32, 84.69 degrees
Fractional positions:
Cr1 0.144 0.343 0.269
Cr2 0.303 0.855 0.717
Cr3 0.697 0.145 0.283
Cr4 0.856 0.657 0.731
Ni1 0.500 0.500 0.000
Ir1 0.000 0.251 0.945
Ir2 0.000 0.749 0.055
Ir3 0.205 0.851 0.373
Ir4 0.298 0.350 0.580
Ir5 0.500 0.000 0.000
Ir6 0.702 0.650 0.420
Ir7 0.795 0.149 0.627

The value obtained for the volume is 166 Å³/f.u. Its symmetry is P-1 (2). The value obtained for the formation energy is 0.029 eV/atom. The total magnetic moment comes out at 0.478 μB/cell. The electronic total energy is -105.959 eV/f.u. The density of states at the Fermi level is 13.6 states/eV/cell.



Below is a relaxed structure of CrNi3Ir, with properties calculated at the GGA-PBE level.

Cell lengths 4.453, 4.111, 6.780 Å; angles 90.00, 108.60, 90.00 degrees
Fractional positions:
Cr1 0.133 0.250 0.102
Cr2 0.867 0.750 0.898
Ni1 0.076 0.750 0.302
Ni2 0.338 0.250 0.505
Ni3 0.458 0.750 0.096
Ni4 0.542 0.250 0.904
Ni5 0.662 0.750 0.495
Ni6 0.924 0.250 0.698
Ir1 0.266 0.750 0.706
Ir2 0.734 0.250 0.294

The value obtained for the volume is 59 Å³/f.u. Its symmetry is P2_1/m (11). The value obtained for the formation energy is -0.010 eV/atom. The total magnetic moment comes out at 0.999 μB/cell. The electronic total energy is -35.880 eV/f.u. The density of states at the Fermi level is 17.4 states/eV/cell.



Below is a relaxed structure of CrNi5Ir2, with properties calculated at the GGA-PBE level.

Cell lengths 5.138, 14.294, 2.619 Å; angles 90.00, 90.00, 90.00 degrees
Fractional positions:
Cr1 0.000 0.000 0.000
Cr2 0.500 0.500 0.000
Ni1 0.000 0.500 0.000
Ni2 0.002 0.249 0.000
Ni3 0.248 0.377 0.500
Ni4 0.252 0.877 0.500
Ni5 0.498 0.749 0.000
Ni6 0.500 0.000 0.000
Ni7 0.502 0.251 0.000
Ni8 0.748 0.123 0.500
Ni9 0.752 0.623 0.500
Ni10 0.998 0.751 0.000
Ir1 0.247 0.123 0.500
Ir2 0.253 0.623 0.500
Ir3 0.747 0.377 0.500
Ir4 0.753 0.877 0.500

The value obtained for the volume is 96 Å³/f.u. Its symmetry is Pbam (55). The value obtained for the formation energy is -0.009 eV/atom. The total magnetic moment comes out at 0.935 μB/cell. The electronic total energy is -56.325 eV/f.u. The density of states at the Fermi level is 27.1 states/eV/cell.



Below is a relaxed structure of Cr2Ni5Ir4, with properties calculated at the GGA-PBE level.

Cell lengths 6.340, 2.633, 8.322 Å; angles 90.00, 94.35, 90.00 degrees
Fractional positions:
Cr1 0.058 0.000 0.134
Cr2 0.942 0.000 0.866
Ni1 0.193 0.000 0.668
Ni2 0.427 0.000 0.207
Ni3 0.500 0.000 0.500
Ni4 0.573 0.000 0.793
Ni5 0.807 0.000 0.332
Ir1 0.168 0.500 0.392
Ir2 0.281 0.500 0.940
Ir3 0.719 0.500 0.060
Ir4 0.832 0.500 0.608

The value obtained for the volume is 139 Å³/f.u. Its symmetry is P2/m (10). The value obtained for the formation energy is -0.032 eV/atom. The total magnetic moment comes out at 0.000 μB/cell. The electronic total energy is -83.953 eV/f.u. The density of states at the Fermi level is 13.2 states/eV/cell.



Below is a relaxed structure of CrNiIr3, with properties calculated at the GGA-PBE level.

Cell lengths 7.093, 7.093, 4.580 Å; angles 95.72, 95.72, 142.30 degrees
Fractional positions:
Cr1 0.154 0.846 0.750
Cr2 0.846 0.154 0.250
Ni1 0.350 0.650 0.750
Ni2 0.650 0.350 0.250
Ir1 0.054 0.946 0.250
Ir2 0.252 0.748 0.250
Ir3 0.450 0.550 0.250
Ir4 0.550 0.450 0.750
Ir5 0.748 0.252 0.750
Ir6 0.946 0.054 0.750

The value obtained for the volume is 67 Å³/f.u. Its symmetry is C2/c (15). The value obtained for the formation energy is -0.090 eV/atom. The total magnetic moment comes out at 2.060 μB/cell. The electronic total energy is -42.436 eV/f.u. The density of states at the Fermi level is 11.4 states/eV/cell.



Below is a relaxed structure of CrNiIr4, with properties calculated at the GGA-PBE level.

Cell lengths 5.122, 5.122, 5.122 Å; angles 60.00, 60.00, 60.00 degrees
Fractional positions:
Cr1 0.000 0.000 0.000
Ni1 0.250 0.250 0.250
Ir1 0.125 0.625 0.625
Ir2 0.625 0.125 0.625
Ir3 0.625 0.625 0.125
Ir4 0.625 0.625 0.625

The value obtained for the volume is 95 Å³/f.u. Its symmetry is F-43m (216). The value obtained for the formation energy is 0.508 eV/atom. The total magnetic moment comes out at 0.686 μB/cell. The electronic total energy is -47.801 eV/f.u. The density of states at the Fermi level is 10.9 states/eV/cell.



- The highest volume belongs to which entry?
  Cr4NiIr7



- What is the electronic total energy in the seventh record?
  -35.880 eV/f.u.